LiSeF2: optimized geometry, PBEsol.

Lattice parameters (Å, degrees): 5.1014 5.1014 7.8933 90.00 90.00 90.00
Last column: nearest neighbours and their distance in Å.
Fractional positions:
Li: 0.0000 0.0000 0.0000  4 F 1.77
Li: 0.0000 0.5000 0.2500  4 F 1.77
Li: 0.5000 0.0000 0.7500  4 F 1.77
Li: 0.5000 0.5000 0.5000  4 F 1.77
Se: 0.0000 0.0000 0.5000  4 F 2.42
Se: 0.0000 0.5000 0.7500  4 F 2.42
Se: 0.5000 0.0000 0.2500  4 F 2.42
Se: 0.5000 0.5000 0.0000  4 F 2.42
F: 0.1450 0.7500 0.1250  2 Li 1.77
F: 0.2500 0.1450 0.8750  2 Li 1.77
F: 0.2500 0.3550 0.3750  2 Li 1.77
F: 0.3550 0.7500 0.6250  2 Li 1.77
F: 0.6450 0.2500 0.6250  2 Li 1.77
F: 0.7500 0.6450 0.3750  2 Li 1.77
F: 0.7500 0.8550 0.8750  2 Li 1.77
F: 0.8550 0.2500 0.1250  2 Li 1.77

Calculated values
ρ: 4.006 g cm⁻³
Symmetry: I-42d (122)
Formation energy from raw total energies: -1.42 eV per atom
Electronic total energy: -61.33 eV for the cell shown
ΔE to the lowest computed polymorph: 0 meV/atom
Calculated volume: 205.4 Å³ per cell